1.
Entry from the Alexandria database: Ho2VIn after structural relaxation (PBE).

```
data_Ho2VIn
_chemical_formula_sum 'Ho2 V1 In1'
_symmetry_space_group_name_H-M 'P 4/m m m'
_symmetry_Int_Tables_number 123
_symmetry_space_group_name_Hall '-P 4 2'
_cell_length_a 3.664
_cell_length_b 3.664
_cell_length_c 7.321
_cell_angle_alpha 90.00
_cell_angle_beta 90.00
_cell_angle_gamma 90.00
loop_
_atom_site_label
_atom_site_type_symbol
_atom_site_fract_x
_atom_site_fract_y
_atom_site_fract_z
Ho1 Ho 0.000 0.000 0.233
V1 V 0.500 0.500 0.000
In1 In 0.500 0.500 0.500
```

Calculated values
**Energy above the most stable polymorph in this dataset**: 0.00 eV/f.u.
**Total moment**: 3.2 μB per formula unit

***

2.
Entry from the Alexandria database: Sc2AgSnI after structural relaxation (PBE).

```
data_Sc2AgSnI
_chemical_formula_sum 'Sc2 Ag1 Sn1 I1'
_symmetry_space_group_name_H-M 'P 4/m m m'
_symmetry_Int_Tables_number 123
_symmetry_space_group_name_Hall '-P 4 2'
_cell_length_a 5.267
_cell_length_b 5.267
_cell_length_c 5.802
_cell_angle_alpha 90.00
_cell_angle_beta 90.00
_cell_angle_gamma 90.00
loop_
_atom_site_label
_atom_site_type_symbol
_atom_site_fract_x
_atom_site_fract_y
_atom_site_fract_z
Sc1 Sc 0.000 0.500 0.000
Ag1 Ag 0.000 0.000 0.500
Sn1 Sn 0.500 0.500 0.500
I1 I 0.500 0.500 0.000
```

Calculated values
**Formation energy without anion corrections**: 0.650 eV/atom
**Total moment**: 0.0 μB per formula unit

***

3.
Entry from the Alexandria database: Sn3HgSe4 after structural relaxation (PBE).

```
data_Sn3HgSe4
_chemical_formula_sum 'Sn6 Hg2 Se8'
_symmetry_space_group_name_H-M 'P m n 21'
_symmetry_Int_Tables_number 31
_cell_length_a 8.405
_cell_length_b 9.568
_cell_length_c 6.239
_cell_angle_alpha 90.00
_cell_angle_beta 90.00
_cell_angle_gamma 90.00
loop_
_symmetry_equiv_pos_as_xyz
'x,y,z'
'-x+1/2,-y,z+1/2'
'-x,y,z'
'x+1/2,-y,z+1/2'
loop_
_atom_site_label
_atom_site_type_symbol
_atom_site_fract_x
_atom_site_fract_y
_atom_site_fract_z
Sn1 Sn 0.000 0.121 0.000
Sn2 Sn 0.214 0.349 0.512
Hg1 Hg 0.000 0.820 0.531
Se1 Se 0.000 0.099 0.456
Se2 Se 0.000 0.786 0.979
Se3 Se 0.229 0.334 0.964
```

Calculated values
**Formation energy without anion corrections**: -0.298 eV/atom
**Energy above the most stable polymorph in this dataset**: 0.00 eV/f.u.
**Total moment**: 0.0 μB per formula unit

***

> Among the records above, which one has the highest total moment?

Ho2VIn